Computed, not measured: a relaxed structure of YBe2CoF at the PBE+U level of DFT.

Computed properties:
V = 23.8 A^3/atom
density of states at the Fermi level = 2.9 states/eV/f.u.
total moment = 0.408 μB/atom
SG = P4/mmm, No. 123
mass density = 2577 kg/m³
E = -3.65 eV/atom

```
YBe2CoF
1.0
5.330 0.000 0.000
0.000 4.192 0.000
0.000 0.000 5.330
F Y Co Be
1 1 1 2
Cartesian
0.000 2.096 0.000
0.000 0.000 0.000
2.665 2.096 2.665
2.665 0.000 0.000
0.000 0.000 2.665
```